Below is a geometry-optimized YAgC2 structure, with properties calculated at the PBE level.

Cell lengths 4.3150, 4.3150, 13.6123 Å; angles 90.00, 90.00, 90.00 degrees
Closest atoms and distances in Å follow each position.
Space group I-42d (No. 122)
One atom of each set of equivalent atoms:
Y1 0.0000 0.0000 0.0000  4 C 2.49
Ag1 0.0000 0.0000 0.5000  4 C 2.13
C1 0.1590 0.2500 0.6250  2 Ag 2.13

Computed properties:
The density of states at the Fermi level comes out at 0.0 states/eV/f.u. As for the raw total energy: -5.693 eV/atom. For the excess energy over the best structure of this formula in the dataset, the calculation gives 0.030 eV/f.u. Its formation energy from the elements is 1247 meV per atom. The crystal system is tetragonal.